1.
## Zn2TcOs (PBE-GGA)

Data for Zn2TcOs after structural relaxation.

Calculated values
V (Å³/f.u.): 57
Space group: No. 12
Calculated formation energy (eV per atom): 0.20
Magnetic moment (Bohr magnetons per cell): 0.00

Geometry as CIF:
```
data_Zn2TcOs
_symmetry_space_group_name_H-M 'P 1'
_symmetry_Int_Tables_number 1
_cell_length_a 4.676
_cell_length_b 4.676
_cell_length_c 4.717
_cell_angle_alpha 100.58
_cell_angle_beta 100.58
_cell_angle_gamma 34.54
loop_
_symmetry_equiv_pos_as_xyz
'x,y,z'
loop_
_atom_site_label
_atom_site_type_symbol
_atom_site_fract_x
_atom_site_fract_y
_atom_site_fract_z
_atom_site_occupancy
Zn1 Zn 0.249 0.249 0.249 1
Zn2 Zn 0.751 0.751 0.751 1
Tc1 Tc 0.000 0.000 0.500 1
Os1 Os 0.500 0.500 0.000 1
```

2.
## RbScSn (PBE-GGA)

Data for RbScSn after structural relaxation.

Calculated values
V (Å³/f.u.): 119
Space group: No. 2
Calculated formation energy (eV per atom): -0.25
Magnetic moment (Bohr magnetons per cell): 0.00

Geometry as CIF:
```
data_RbScSn
_symmetry_space_group_name_H-M 'P 1'
_symmetry_Int_Tables_number 1
_cell_length_a 4.052
_cell_length_b 4.347
_cell_length_c 13.733
_cell_angle_alpha 98.97
_cell_angle_beta 90.20
_cell_angle_gamma 90.01
loop_
_symmetry_equiv_pos_as_xyz
'x,y,z'
loop_
_atom_site_label
_atom_site_type_symbol
_atom_site_fract_x
_atom_site_fract_y
_atom_site_fract_z
_atom_site_occupancy
Rb1 Rb 0.246 0.327 0.156 1
Rb2 Rb 0.754 0.673 0.844 1
Sc1 Sc 0.249 0.956 0.411 1
Sc2 Sc 0.751 0.044 0.589 1
Sn1 Sn 0.251 0.547 0.596 1
Sn2 Sn 0.749 0.453 0.404 1
```